Entry 1:
# TaCoMo | Alexandria | GGA-PBE | optimized geometry
# - symmetry = I4mm (107)
# - VASP energy (eV per atom) = -9.915
# - density of states at the Fermi level (states/eV/f.u.) = 3.47
data_TaCoMo
_chemical_formula_sum 'Ta1 Co1 Mo1'
_space_group_name_H-M_alt 'P 1'
_space_group_IT_number 1
_cell_length_a 6.242
_cell_length_b 6.242
_cell_length_c 6.242
_cell_angle_alpha 154.71
_cell_angle_beta 154.71
_cell_angle_gamma 36.07
loop_
_space_group_symop_operation_xyz
'x,y,z'
loop_
_atom_site_label
_atom_site_fract_x
_atom_site_fract_y
_atom_site_fract_z
_atom_site_occupancy
Co1 0.996 0.996 0.000 1
Mo1 0.350 0.350 0.000 1
Ta1 0.654 0.654 0.000 1

Entry 2:
# Tm4ZnAu7 | Alexandria | GGA-PBE | optimized geometry
# - symmetry = C2/m (12)
# - VASP energy (eV per atom) = -4.182
# - density of states at the Fermi level (states/eV/f.u.) = 6.88
data_Tm4ZnAu7
_chemical_formula_sum 'Tm4 Zn1 Au7'
_space_group_name_H-M_alt 'P 1'
_space_group_IT_number 1
_cell_length_a 5.016
_cell_length_b 8.129
_cell_length_c 7.470
_cell_angle_alpha 69.37
_cell_angle_beta 70.38
_cell_angle_gamma 72.03
loop_
_space_group_symop_operation_xyz
'x,y,z'
loop_
_atom_site_label
_atom_site_fract_x
_atom_site_fract_y
_atom_site_fract_z
_atom_site_occupancy
Tm1 0.563 0.257 0.617 1
Tm2 0.437 0.743 0.383 1
Tm3 0.739 0.743 0.780 1
Tm4 0.261 0.257 0.220 1
Zn1 0.000 0.000 0.000 1
Au1 0.813 0.990 0.383 1
Au2 0.187 0.010 0.617 1
Au3 0.075 0.648 0.202 1
Au4 0.925 0.352 0.798 1
Au5 0.319 0.553 0.810 1
Au6 0.500 0.000 0.000 1
Au7 0.681 0.447 0.190 1

Entry 3:
# AlGeRu3 | Alexandria | GGA-PBE | optimized geometry
# - symmetry = Pm-3m (221)
# - VASP energy (eV per atom) = -6.375
# - density of states at the Fermi level (states/eV/f.u.) = 5.85
data_AlGeRu3
_chemical_formula_sum 'Al1 Ge1 Ru3'
_space_group_name_H-M_alt 'P 1'
_space_group_IT_number 1
_cell_length_a 4.484
_cell_length_b 4.484
_cell_length_c 4.484
_cell_angle_alpha 90.00
_cell_angle_beta 90.00
_cell_angle_gamma 90.00
loop_
_space_group_symop_operation_xyz
'x,y,z'
loop_
_atom_site_label
_atom_site_fract_x
_atom_site_fract_y
_atom_site_fract_z
_atom_site_occupancy
Ru1 0.000 0.500 0.000 1
Ru2 0.000 0.000 0.500 1
Ru3 0.500 0.000 0.000 1
Ge1 0.000 0.000 0.000 1
Al1 0.500 0.500 0.500 1

Entry 4:
# Y2SbOs | Alexandria | GGA-PBE | optimized geometry
# - symmetry = R-3m (166)
# - ΔE_f (raw) (eV/atom) = -0.16
# - density of states at the Fermi level (states/eV/f.u.) = 4.06
data_Y2SbOs
_chemical_formula_sum 'Y2 Sb1 Os1'
_space_group_name_H-M_alt 'P 1'
_space_group_IT_number 1
_cell_length_a 8.857
_cell_length_b 8.857
_cell_length_c 8.857
_cell_angle_alpha 23.97
_cell_angle_beta 23.97
_cell_angle_gamma 23.97
loop_
_space_group_symop_operation_xyz
'x,y,z'
loop_
_atom_site_label
_atom_site_fract_x
_atom_site_fract_y
_atom_site_fract_z
_atom_site_occupancy
Os1 0.250 0.250 0.250 1
Sb1 0.750 0.750 0.750 1
Y1 0.991 0.991 0.991 1
Y2 0.509 0.509 0.509 1

Entry 5:
# B2WI | Alexandria | GGA-PBE | optimized geometry
# - symmetry = Fm-3m (225)
# - ΔE_f (raw) (eV/atom) = 2.04
# - density of states at the Fermi level (states/eV/f.u.) = 2.79
data_B2WI
_chemical_formula_sum 'B2 W1 I1'
_space_group_name_H-M_alt 'P 1'
_space_group_IT_number 1
_cell_length_a 4.230
_cell_length_b 4.230
_cell_length_c 4.230
_cell_angle_alpha 60.00
_cell_angle_beta 60.00
_cell_angle_gamma 60.00
loop_
_space_group_symop_operation_xyz
'x,y,z'
loop_
_atom_site_label
_atom_site_fract_x
_atom_site_fract_y
_atom_site_fract_z
_atom_site_occupancy
I1 0.000 0.000 0.000 1
B1 0.250 0.250 0.250 1
B2 0.750 0.750 0.750 1
W1 0.500 0.500 0.500 1

Entry 6:
# LiMgCl2 | Alexandria | GGA-PBE | optimized geometry
# - symmetry = Immm (71)
# - ΔE_f (raw) (eV/atom) = -1.11
# - density of states at the Fermi level (states/eV/f.u.) = 1.53
data_LiMgCl2
_chemical_formula_sum 'Li1 Mg1 Cl2'
_space_group_name_H-M_alt 'P 1'
_space_group_IT_number 1
_cell_length_a 6.056
_cell_length_b 6.056
_cell_length_c 6.056
_cell_angle_alpha 146.75
_cell_angle_beta 89.41
_cell_angle_gamma 100.02
loop_
_space_group_symop_operation_xyz
'x,y,z'
loop_
_atom_site_label
_atom_site_fract_x
_atom_site_fract_y
_atom_site_fract_z
_atom_site_occupancy
Cl1 0.974 0.974 0.000 1
Cl2 0.526 0.526 0.000 1
Li1 0.750 0.250 0.500 1
Mg1 0.250 0.750 0.500 1

Entry 7:
# CsMg6Pb2 | Alexandria | GGA-PBE | optimized geometry
# - symmetry = P4/mmm (123)
# - VASP energy (eV per atom) = -2.035
# - density of states at the Fermi level (states/eV/f.u.) = 3.26
data_CsMg6Pb2
_chemical_formula_sum 'Cs1 Mg6 Pb2'
_space_group_name_H-M_alt 'P 1'
_space_group_IT_number 1
_cell_length_a 5.138
_cell_length_b 5.138
_cell_length_c 10.325
_cell_angle_alpha 90.00
_cell_angle_beta 90.00
_cell_angle_gamma 90.00
loop_
_space_group_symop_operation_xyz
'x,y,z'
loop_
_atom_site_label
_atom_site_fract_x
_atom_site_fract_y
_atom_site_fract_z
_atom_site_occupancy
Cs1 0.000 0.000 0.000 1
Mg1 0.000 0.500 0.327 1
Mg2 0.500 0.000 0.327 1
Mg3 0.000 0.500 0.673 1
Mg4 0.500 0.000 0.673 1
Mg5 0.500 0.500 0.500 1
Mg6 0.000 0.000 0.500 1
Pb1 0.500 0.500 0.179 1
Pb2 0.500 0.500 0.821 1

Entry 8:
# KV2CdCl | Alexandria | GGA-PBE | optimized geometry
# - symmetry = P4/mmm (123)
# - ΔE_f (raw) (eV/atom) = 0.93
# - density of states at the Fermi level (states/eV/f.u.) = 7.99
data_KV2CdCl
_chemical_formula_sum 'K1 V2 Cd1 Cl1'
_space_group_name_H-M_alt 'P 1'
_space_group_IT_number 1
_cell_length_a 5.219
_cell_length_b 6.902
_cell_length_c 5.219
_cell_angle_alpha 90.00
_cell_angle_beta 90.00
_cell_angle_gamma 90.00
loop_
_space_group_symop_operation_xyz
'x,y,z'
loop_
_atom_site_label
_atom_site_fract_x
_atom_site_fract_y
_atom_site_fract_z
_atom_site_occupancy
Cl1 0.500 0.500 0.500 1
K1 0.000 0.500 0.000 1
V1 0.000 0.000 0.500 1
V2 0.500 0.000 0.000 1
Cd1 0.000 0.000 0.000 1

Entry 9:
# BaTe3P | Alexandria | GGA-PBE | optimized geometry
# - symmetry = Pm-3m (221)
# - ΔE_f (raw) (eV/atom) = -0.51
# - density of states at the Fermi level (states/eV/f.u.) = 3.38
data_BaTe3P
_chemical_formula_sum 'Ba1 Te3 P1'
_space_group_name_H-M_alt 'P 1'
_space_group_IT_number 1
_cell_length_a 5.438
_cell_length_b 5.438
_cell_length_c 5.438
_cell_angle_alpha 90.00
_cell_angle_beta 90.00
_cell_angle_gamma 90.00
loop_
_space_group_symop_operation_xyz
'x,y,z'
loop_
_atom_site_label
_atom_site_fract_x
_atom_site_fract_y
_atom_site_fract_z
_atom_site_occupancy
P1 0.000 0.000 0.000 1
Te1 0.000 0.500 0.000 1
Te2 0.000 0.000 0.500 1
Te3 0.500 0.000 0.000 1
Ba1 0.500 0.500 0.500 1

Entry 10:
# Cd4HgH4 | Alexandria | GGA-PBE | optimized geometry
# - symmetry = I4/mmm (139)
# - VASP energy (eV per atom) = -1.526
# - density of states at the Fermi level (states/eV/f.u.) = 0.88
data_Cd4HgH4
_chemical_formula_sum 'Cd4 Hg1 H4'
_space_group_name_H-M_alt 'P 1'
_space_group_IT_number 1
_cell_length_a 5.375
_cell_length_b 5.867
_cell_length_c 5.867
_cell_angle_alpha 77.88
_cell_angle_beta 62.73
_cell_angle_gamma 62.73
loop_
_space_group_symop_operation_xyz
'x,y,z'
loop_
_atom_site_label
_atom_site_fract_x
_atom_site_fract_y
_atom_site_fract_z
_atom_site_occupancy
Cd1 0.281 0.219 0.719 1
Cd2 0.719 0.781 0.281 1
Cd3 0.000 0.219 0.281 1
Cd4 0.000 0.781 0.719 1
Hg1 0.500 0.500 0.000 1
H1 0.500 0.178 0.322 1
H2 0.500 0.822 0.678 1
H3 0.178 0.822 0.322 1
H4 0.822 0.178 0.678 1

Entry 11:
# Ac3Nd3ZnIn2 | Alexandria | GGA-PBE | optimized geometry
# - symmetry = P-62m (189)
# - VASP energy (eV per atom) = -3.944
# - density of states at the Fermi level (states/eV/f.u.) = 9.20
data_Ac3Nd3ZnIn2
_chemical_formula_sum 'Ac3 Nd3 Zn1 In2'
_space_group_name_H-M_alt 'P 1'
_space_group_IT_number 1
_cell_length_a 3.949
_cell_length_b 9.395
_cell_length_c 9.395
_cell_angle_alpha 120.00
_cell_angle_beta 90.00
_cell_angle_gamma 90.00
loop_
_space_group_symop_operation_xyz
'x,y,z'
loop_
_atom_site_label
_atom_site_fract_x
_atom_site_fract_y
_atom_site_fract_z
_atom_site_occupancy
Ac1 0.500 0.734 0.000 1
Ac2 0.500 0.000 0.734 1
Ac3 0.500 0.266 0.266 1
Nd1 0.000 0.601 0.601 1
Nd2 0.000 0.000 0.399 1
Nd3 0.000 0.399 0.000 1
Zn1 0.000 0.000 0.000 1
In1 0.500 0.667 0.333 1
In2 0.500 0.333 0.667 1

Entry 12:
# KRb4Tl3Br8 | Alexandria | GGA-PBE | optimized geometry
# - symmetry = R-3m (166)
# - ΔE_f (raw) (eV/atom) = -1.42
# - density of states at the Fermi level (states/eV/f.u.) = 0.00
data_KRb4Tl3Br8
_chemical_formula_sum 'K1 Rb4 Tl3 Br8'
_space_group_name_H-M_alt 'P 1'
_space_group_IT_number 1
_cell_length_a 9.727
_cell_length_b 9.707
_cell_length_c 9.728
_cell_angle_alpha 120.07
_cell_angle_beta 120.00
_cell_angle_gamma 90.00
loop_
_space_group_symop_operation_xyz
'x,y,z'
loop_
_atom_site_label
_atom_site_fract_x
_atom_site_fract_y
_atom_site_fract_z
_atom_site_occupancy
K1 0.000 0.500 0.000 1
Rb1 0.500 0.000 0.000 1
Rb2 0.500 0.000 0.500 1
Rb3 0.000 0.000 0.000 1
Rb4 0.000 0.000 0.500 1
Tl1 0.500 0.500 0.000 1
Tl2 0.500 0.500 0.500 1
Tl3 0.000 0.500 0.500 1
Br1 0.246 0.741 0.995 1
Br2 0.246 0.741 0.492 1
Br3 0.252 0.257 0.504 1
Br4 0.749 0.741 0.995 1
Br5 0.251 0.259 0.005 1
Br6 0.748 0.743 0.496 1
Br7 0.754 0.259 0.508 1
Br8 0.754 0.259 0.005 1

Copy entry 8 word for word.
# KV2CdCl | Alexandria | GGA-PBE | optimized geometry
# - symmetry = P4/mmm (123)
# - ΔE_f (raw) (eV/atom) = 0.93
# - density of states at the Fermi level (states/eV/f.u.) = 7.99
data_KV2CdCl
_chemical_formula_sum 'K1 V2 Cd1 Cl1'
_space_group_name_H-M_alt 'P 1'
_space_group_IT_number 1
_cell_length_a 5.219
_cell_length_b 6.902
_cell_length_c 5.219
_cell_angle_alpha 90.00
_cell_angle_beta 90.00
_cell_angle_gamma 90.00
loop_
_space_group_symop_operation_xyz
'x,y,z'
loop_
_atom_site_label
_atom_site_fract_x
_atom_site_fract_y
_atom_site_fract_z
_atom_site_occupancy
Cl1 0.500 0.500 0.500 1
K1 0.000 0.500 0.000 1
V1 0.000 0.000 0.500 1
V2 0.500 0.000 0.000 1
Cd1 0.000 0.000 0.000 1

- Which value of density of states at the Fermi level does entry 11 give?
  9.20 states/eV/f.u.

- Look up the density of states at the Fermi level of the ninth one.
  3.38 states/eV/f.u.